# PBE Tb6HgGe2S3, optimized geometry
# **Size of the total moment**: 0.00 μB per formula unit
# **Formation energy without anion corrections**: -1364 meV/atom
data_Tb6HgGe2S3
_chemical_formula_sum 'Tb12 Hg2 Ge4 S6'
_symmetry_space_group_name_H-M 'C 1 2/m 1'
_symmetry_Int_Tables_number 12
_symmetry_space_group_name_Hall '-C 2y'
_cell_length_a 18.0579
_cell_length_b 4.0583
_cell_length_c 8.2711
_cell_angle_alpha 90.00
_cell_angle_beta 107.50
_cell_angle_gamma 90.00
loop_
_atom_site_label
_atom_site_type_symbol
_atom_site_fract_x
_atom_site_fract_y
_atom_site_fract_z
Tb1 Tb 0.0058 0.0000 0.2298
Tb2 Tb 0.1683 0.5000 0.0764
Tb3 Tb 0.1736 0.5000 0.5806
Hg1 Hg 0.0000 0.5000 0.5000
Ge1 Ge 0.1612 0.0000 0.8202
S1 S 0.0000 0.5000 0.0000
S2 S 0.1681 0.0000 0.3279

***

# PBE TlHgGe2S, optimized geometry
# **Size of the total moment**: 0.00 μB per formula unit
# **Formation energy without anion corrections**: 835 meV/atom
data_TlHgGe2S
_chemical_formula_sum 'Tl1 Hg1 Ge2 S1'
_symmetry_space_group_name_H-M 'P 4/m m m'
_symmetry_Int_Tables_number 123
_symmetry_space_group_name_Hall '-P 4 2'
_cell_length_a 5.4679
_cell_length_b 5.4679
_cell_length_c 5.2083
_cell_angle_alpha 90.00
_cell_angle_beta 90.00
_cell_angle_gamma 90.00
loop_
_atom_site_label
_atom_site_type_symbol
_atom_site_fract_x
_atom_site_fract_y
_atom_site_fract_z
Tl1 Tl 0.0000 0.0000 0.0000
Hg1 Hg 0.5000 0.5000 0.5000
Ge1 Ge 0.0000 0.5000 0.0000
S1 S 0.0000 0.0000 0.5000

***

# PBE Tl2HgGeS, optimized geometry
# **Size of the total moment**: 0.00 μB per formula unit
# **Formation energy without anion corrections**: 599 meV/atom
data_Tl2HgGeS
_chemical_formula_sum 'Tl2 Hg1 Ge1 S1'
_symmetry_space_group_name_H-M 'P 4/m m m'
_symmetry_Int_Tables_number 123
_symmetry_space_group_name_Hall '-P 4 2'
_cell_length_a 5.8937
_cell_length_b 5.8937
_cell_length_c 4.8910
_cell_angle_alpha 90.00
_cell_angle_beta 90.00
_cell_angle_gamma 90.00
loop_
_atom_site_label
_atom_site_type_symbol
_atom_site_fract_x
_atom_site_fract_y
_atom_site_fract_z
Tl1 Tl 0.0000 0.5000 0.0000
Hg1 Hg 0.0000 0.0000 0.0000
Ge1 Ge 0.5000 0.5000 0.5000
S1 S 0.0000 0.0000 0.5000

***

# PBE TlHg2GeS4, optimized geometry
# **Size of the total moment**: 0.00 μB per formula unit
# **Formation energy without anion corrections**: -183 meV/atom
data_TlHg2GeS4
_chemical_formula_sum 'Tl2 Hg4 Ge2 S8'
_symmetry_space_group_name_H-M 'P m n 21'
_symmetry_Int_Tables_number 31
_symmetry_space_group_name_Hall 'P 2ac -2'
_cell_length_a 10.0316
_cell_length_b 6.5928
_cell_length_c 6.5964
_cell_angle_alpha 90.00
_cell_angle_beta 90.00
_cell_angle_gamma 90.00
loop_
_atom_site_label
_atom_site_type_symbol
_atom_site_fract_x
_atom_site_fract_y
_atom_site_fract_z
Tl1 Tl 0.0000 0.2337 0.0000
Hg1 Hg 0.2502 0.2670 0.4900
Ge1 Ge 0.0000 0.8014 0.4642
S1 S 0.0000 0.1420 0.5248
S2 S 0.0000 0.7574 0.1203
S3 S 0.1904 0.6751 0.5829

***

# PBE Zn2HgGeS, optimized geometry
# **Size of the total moment**: 0.42 μB per formula unit
# **Formation energy without anion corrections**: 734 meV/atom
data_Zn2HgGeS
_chemical_formula_sum 'Zn2 Hg1 Ge1 S1'
_symmetry_space_group_name_H-M 'P 4/m m m'
_symmetry_Int_Tables_number 123
_symmetry_space_group_name_Hall '-P 4 2'
_cell_length_a 4.9456
_cell_length_b 4.9456
_cell_length_c 5.3659
_cell_angle_alpha 90.00
_cell_angle_beta 90.00
_cell_angle_gamma 90.00
loop_
_atom_site_label
_atom_site_type_symbol
_atom_site_fract_x
_atom_site_fract_y
_atom_site_fract_z
Zn1 Zn 0.0000 0.5000 0.0000
Hg1 Hg 0.0000 0.0000 0.0000
Ge1 Ge 0.5000 0.5000 0.5000
S1 S 0.0000 0.0000 0.5000

***

# PBE HgGeSb2, optimized geometry
# **Size of the total moment**: 0.00 μB per formula unit
# **Formation energy without anion corrections**: 175 meV/atom
# **Excess energy over the best structure of this formula in the dataset**: 0.0953 eV/atom
data_HgGeSb2
_chemical_formula_sum 'Hg3 Ge3 Sb6'
_symmetry_space_group_name_H-M 'R 3 m'
_symmetry_Int_Tables_number 160
_symmetry_space_group_name_Hall 'R 3 -2"'
_cell_length_a 4.0413
_cell_length_b 4.0413
_cell_length_c 22.4854
_cell_angle_alpha 90.00
_cell_angle_beta 90.00
_cell_angle_gamma 120.00
loop_
_atom_site_label
_atom_site_type_symbol
_atom_site_fract_x
_atom_site_fract_y
_atom_site_fract_z
Hg1 Hg 0.0000 0.0000 0.0000
Ge1 Ge 0.0000 0.0000 0.1688
Sb1 Sb 0.0000 0.0000 0.5762
Sb2 Sb 0.0000 0.0000 0.7591

***

# PBE Hg2GeSb2, optimized geometry
# **Size of the total moment**: 0.00 μB per formula unit
# **Formation energy without anion corrections**: 243 meV/atom
# **Excess energy over the best structure of this formula in the dataset**: 0.0000 eV/atom
data_Hg2GeSb2
_chemical_formula_sum 'Hg4 Ge2 Sb4'
_symmetry_space_group_name_H-M 'I 4/m m m'
_symmetry_Int_Tables_number 139
_symmetry_space_group_name_Hall '-I 4 2'
_cell_length_a 4.0578
_cell_length_b 4.0578
_cell_length_c 17.5143
_cell_angle_alpha 90.00
_cell_angle_beta 90.00
_cell_angle_gamma 90.00
loop_
_atom_site_label
_atom_site_type_symbol
_atom_site_fract_x
_atom_site_fract_y
_atom_site_fract_z
Hg1 Hg 0.0000 0.5000 0.2500
Ge1 Ge 0.0000 0.0000 0.0000
Sb1 Sb 0.0000 0.0000 0.4199

***

# PBE Hg2Ge2Sb, optimized geometry
# **Size of the total moment**: 0.00 μB per formula unit
# **Formation energy without anion corrections**: 281 meV/atom
# **Excess energy over the best structure of this formula in the dataset**: 0.0000 eV/atom
data_Hg2Ge2Sb
_chemical_formula_sum 'Hg4 Ge4 Sb2'
_symmetry_space_group_name_H-M 'P 4/m b m'
_symmetry_Int_Tables_number 127
_symmetry_space_group_name_Hall '-P 4 2ab'
_cell_length_a 8.5362
_cell_length_b 8.5362
_cell_length_c 3.2947
_cell_angle_alpha 90.00
_cell_angle_beta 90.00
_cell_angle_gamma 90.00
loop_
_atom_site_label
_atom_site_type_symbol
_atom_site_fract_x
_atom_site_fract_y
_atom_site_fract_z
Hg1 Hg 0.1219 0.3781 0.0000
Ge1 Ge 0.1873 0.6873 0.5000
Sb1 Sb 0.0000 0.0000 0.5000

***

# PBE Hg12Ge5Sb3, optimized geometry
# **Size of the total moment**: 0.00 μB per formula unit
# **Formation energy without anion corrections**: 219 meV/atom
data_Hg12Ge5Sb3
_chemical_formula_sum 'Hg96 Ge40 Sb24'
_symmetry_space_group_name_H-M 'I a -3 d'
_symmetry_Int_Tables_number 230
_symmetry_space_group_name_Hall '-I 4bd 2c 3'
_cell_length_a 16.5963
_cell_length_b 16.5963
_cell_length_c 16.5963
_cell_angle_alpha 90.00
_cell_angle_beta 90.00
_cell_angle_gamma 90.00
loop_
_atom_site_label
_atom_site_type_symbol
_atom_site_fract_x
_atom_site_fract_y
_atom_site_fract_z
Hg1 Hg 0.0272 0.0727 0.6478
Ge1 Ge 0.0000 0.0000 0.0000
Ge2 Ge 0.0000 0.2500 0.3750
Sb1 Sb 0.0000 0.2500 0.1250

***

# PBE HgGeSb2, optimized geometry
# **Size of the total moment**: 0.00 μB per formula unit
# **Formation energy without anion corrections**: 224 meV/atom
# **Excess energy over the best structure of this formula in the dataset**: 0.1441 eV/atom
data_HgGeSb2
_chemical_formula_sum 'Hg3 Ge3 Sb6'
_symmetry_space_group_name_H-M 'R -3 m'
_symmetry_Int_Tables_number 166
_symmetry_space_group_name_Hall '-R 3 2"'
_cell_length_a 3.5867
_cell_length_b 3.5867
_cell_length_c 30.4811
_cell_angle_alpha 90.00
_cell_angle_beta 90.00
_cell_angle_gamma 120.00
loop_
_atom_site_label
_atom_site_type_symbol
_atom_site_fract_x
_atom_site_fract_y
_atom_site_fract_z
Hg1 Hg 0.0000 0.0000 0.0000
Ge1 Ge 0.0000 0.0000 0.5000
Sb1 Sb 0.0000 0.0000 0.2313

***

# PBE Hg2Ge2Sb, optimized geometry
# **Size of the total moment**: 0.00 μB per formula unit
# **Formation energy without anion corrections**: 290 meV/atom
# **Excess energy over the best structure of this formula in the dataset**: 0.0085 eV/atom
data_Hg2Ge2Sb
_chemical_formula_sum 'Hg4 Ge4 Sb2'
_symmetry_space_group_name_H-M 'I 4/m m m'
_symmetry_Int_Tables_number 139
_symmetry_space_group_name_Hall '-I 4 2'
_cell_length_a 3.7439
_cell_length_b 3.7439
_cell_length_c 17.4977
_cell_angle_alpha 90.00
_cell_angle_beta 90.00
_cell_angle_gamma 90.00
loop_
_atom_site_label
_atom_site_type_symbol
_atom_site_fract_x
_atom_site_fract_y
_atom_site_fract_z
Hg1 Hg 0.0000 0.0000 0.1044
Ge1 Ge 0.0000 0.5000 0.2500
Sb1 Sb 0.0000 0.0000 0.5000

***

# PBE Hg2GeSb2, optimized geometry
# **Size of the total moment**: 0.00 μB per formula unit
# **Formation energy without anion corrections**: 347 meV/atom
# **Excess energy over the best structure of this formula in the dataset**: 0.1035 eV/atom
data_Hg2GeSb2
_chemical_formula_sum 'Hg4 Ge2 Sb4'
_symmetry_space_group_name_H-M 'P 4/m b m'
_symmetry_Int_Tables_number 127
_symmetry_space_group_name_Hall '-P 4 2ab'
_cell_length_a 7.8260
_cell_length_b 7.8260
_cell_length_c 4.3247
_cell_angle_alpha 90.00
_cell_angle_beta 90.00
_cell_angle_gamma 90.00
loop_
_atom_site_label
_atom_site_type_symbol
_atom_site_fract_x
_atom_site_fract_y
_atom_site_fract_z
Hg1 Hg 0.1574 0.3426 0.0000
Ge1 Ge 0.0000 0.0000 0.0000
Sb1 Sb 0.1409 0.6409 0.5000

***

# PBE HgGeSb2, optimized geometry
# **Size of the total moment**: 0.00 μB per formula unit
# **Formation energy without anion corrections**: 80 meV/atom
# **Excess energy over the best structure of this formula in the dataset**: 0.0000 eV/atom
data_HgGeSb2
_chemical_formula_sum 'Hg4 Ge4 Sb8'
_symmetry_space_group_name_H-M 'I -4 2 d'
_symmetry_Int_Tables_number 122
_symmetry_space_group_name_Hall 'I -4 2bw'
_cell_length_a 6.4670
_cell_length_b 6.4670
_cell_length_c 12.5386
_cell_angle_alpha 90.00
_cell_angle_beta 90.00
_cell_angle_gamma 90.00
loop_
_atom_site_label
_atom_site_type_symbol
_atom_site_fract_x
_atom_site_fract_y
_atom_site_fract_z
Hg1 Hg 0.0000 0.0000 0.0000
Ge1 Ge 0.0000 0.0000 0.5000
Sb1 Sb 0.2323 0.2500 0.6250

***

# PBE Hg2GeSb2, optimized geometry
# **Size of the total moment**: 0.00 μB per formula unit
# **Formation energy without anion corrections**: 301 meV/atom
# **Excess energy over the best structure of this formula in the dataset**: 0.0575 eV/atom
data_Hg2GeSb2
_chemical_formula_sum 'Hg4 Ge2 Sb4'
_symmetry_space_group_name_H-M 'P 4/m b m'
_symmetry_Int_Tables_number 127
_symmetry_space_group_name_Hall '-P 4 2ab'
_cell_length_a 8.7587
_cell_length_b 8.7587
_cell_length_c 3.4596
_cell_angle_alpha 90.00
_cell_angle_beta 90.00
_cell_angle_gamma 90.00
loop_
_atom_site_label
_atom_site_type_symbol
_atom_site_fract_x
_atom_site_fract_y
_atom_site_fract_z
Hg1 Hg 0.1180 0.3820 0.0000
Ge1 Ge 0.0000 0.0000 0.5000
Sb1 Sb 0.1895 0.6895 0.5000

***

# PBE HgGeSb2, optimized geometry
# **Size of the total moment**: 0.00 μB per formula unit
# **Formation energy without anion corrections**: 277 meV/atom
# **Excess energy over the best structure of this formula in the dataset**: 0.1976 eV/atom
data_HgGeSb2
_chemical_formula_sum 'Hg4 Ge4 Sb8'
_symmetry_space_group_name_H-M 'F m -3 m'
_symmetry_Int_Tables_number 225
_symmetry_space_group_name_Hall '-F 4 2 3'
_cell_length_a 7.3645
_cell_length_b 7.3645
_cell_length_c 7.3645
_cell_angle_alpha 90.00
_cell_angle_beta 90.00
_cell_angle_gamma 90.00
loop_
_atom_site_label
_atom_site_type_symbol
_atom_site_fract_x
_atom_site_fract_y
_atom_site_fract_z
Hg1 Hg 0.0000 0.0000 0.0000
Ge1 Ge 0.0000 0.0000 0.5000
Sb1 Sb 0.2500 0.2500 0.2500

***

# PBE Hg2Ge2Sb, optimized geometry
# **Size of the total moment**: 0.00 μB per formula unit
# **Formation energy without anion corrections**: 292 meV/atom
# **Excess energy over the best structure of this formula in the dataset**: 0.0102 eV/atom
data_Hg2Ge2Sb
_chemical_formula_sum 'Hg4 Ge4 Sb2'
_symmetry_space_group_name_H-M 'I 4/m m m'
_symmetry_Int_Tables_number 139
_symmetry_space_group_name_Hall '-I 4 2'
_cell_length_a 4.0908
_cell_length_b 4.0908
_cell_length_c 15.0312
_cell_angle_alpha 90.00
_cell_angle_beta 90.00
_cell_angle_gamma 90.00
loop_
_atom_site_label
_atom_site_type_symbol
_atom_site_fract_x
_atom_site_fract_y
_atom_site_fract_z
Hg1 Hg 0.0000 0.5000 0.2500
Ge1 Ge 0.0000 0.0000 0.0890
Sb1 Sb 0.0000 0.0000 0.5000

***

# PBE Hg2Ge2Sb, optimized geometry
# **Size of the total moment**: 0.00 μB per formula unit
# **Formation energy without anion corrections**: 317 meV/atom
# **Excess energy over the best structure of this formula in the dataset**: 0.0356 eV/atom
data_Hg2Ge2Sb
_chemical_formula_sum 'Hg4 Ge4 Sb2'
_symmetry_space_group_name_H-M 'P 4/m b m'
_symmetry_Int_Tables_number 127
_symmetry_space_group_name_Hall '-P 4 2ab'
_cell_length_a 8.5398
_cell_length_b 8.5398
_cell_length_c 3.2615
_cell_angle_alpha 90.00
_cell_angle_beta 90.00
_cell_angle_gamma 90.00
loop_
_atom_site_label
_atom_site_type_symbol
_atom_site_fract_x
_atom_site_fract_y
_atom_site_fract_z
Hg1 Hg 0.1784 0.3216 0.0000
Ge1 Ge 0.1162 0.6162 0.5000
Sb1 Sb 0.0000 0.0000 0.0000

***

# PBE SnHgGeSb, optimized geometry
# **Size of the total moment**: 0.00 μB per formula unit
# **Formation energy without anion corrections**: 234 meV/atom
data_SnHgGeSb
_chemical_formula_sum 'Sn4 Hg4 Ge4 Sb4'
_symmetry_space_group_name_H-M 'F -4 3 m'
_symmetry_Int_Tables_number 216
_symmetry_space_group_name_Hall 'F -4 2 3'
_cell_length_a 7.4162
_cell_length_b 7.4162
_cell_length_c 7.4162
_cell_angle_alpha 90.00
_cell_angle_beta 90.00
_cell_angle_gamma 90.00
loop_
_atom_site_label
_atom_site_type_symbol
_atom_site_fract_x
_atom_site_fract_y
_atom_site_fract_z
Sn1 Sn 0.0000 0.0000 0.0000
Hg1 Hg 0.2500 0.2500 0.7500
Ge1 Ge 0.0000 0.0000 0.5000
Sb1 Sb 0.2500 0.2500 0.2500

***

# PBE HgGeSbTe2, optimized geometry
# **Size of the total moment**: 0.00 μB per formula unit
# **Formation energy without anion corrections**: 827 meV/atom
# **Excess energy over the best structure of this formula in the dataset**: 0.3586 eV/atom
data_HgGeSbTe2
_chemical_formula_sum 'Hg1 Ge1 Sb1 Te2'
_symmetry_space_group_name_H-M 'P 4/m m m'
_symmetry_Int_Tables_number 123
_symmetry_space_group_name_Hall '-P 4 2'
_cell_length_a 5.5990
_cell_length_b 5.5990
_cell_length_c 5.5126
_cell_angle_alpha 90.00
_cell_angle_beta 90.00
_cell_angle_gamma 90.00
loop_
_atom_site_label
_atom_site_type_symbol
_atom_site_fract_x
_atom_site_fract_y
_atom_site_fract_z
Hg1 Hg 0.0000 0.0000 0.0000
Ge1 Ge 0.5000 0.5000 0.5000
Sb1 Sb 0.0000 0.0000 0.5000
Te1 Te 0.0000 0.5000 0.0000

***

# PBE HgGeSbTe2, optimized geometry
# **Size of the total moment**: 0.00 μB per formula unit
# **Formation energy without anion corrections**: 469 meV/atom
# **Excess energy over the best structure of this formula in the dataset**: 0.0000 eV/atom
data_HgGeSbTe2
_chemical_formula_sum 'Hg1 Ge1 Sb1 Te2'
_symmetry_space_group_name_H-M 'P 4/m m m'
_symmetry_Int_Tables_number 123
_symmetry_space_group_name_Hall '-P 4 2'
_cell_length_a 5.4556
_cell_length_b 5.4556
_cell_length_c 5.4669
_cell_angle_alpha 90.00
_cell_angle_beta 90.00
_cell_angle_gamma 90.00
loop_
_atom_site_label
_atom_site_type_symbol
_atom_site_fract_x
_atom_site_fract_y
_atom_site_fract_z
Hg1 Hg 0.0000 0.0000 0.0000
Ge1 Ge 0.5000 0.5000 0.5000
Sb1 Sb 0.5000 0.5000 0.0000
Te1 Te 0.0000 0.5000 0.5000